(1)
Ce3HfTl3S8 | PBE | optimized geometry

a b c (Å): 8.1483 8.1513 8.9116
angles (deg): 117.22 90.00 119.99
With the nearest neighbours (Å) after each atom.
Element x y z (fractional)
S (0.2160, 0.4320, 0.6904)  1 Hf 2.59, 2 Ce 2.85
S (0.2651, 0.5303, 0.2956)  3 Ce 2.82
S (0.7840, 0.5680, 0.3096)  1 Hf 2.59, 2 Ce 2.85
S (0.2415, 0.0254, 0.3094)  1 Hf 2.59, 2 Ce 2.85
S (0.7585, 0.9746, 0.6906)  1 Hf 2.59, 2 Ce 2.85
S (0.7839, 0.0254, 0.3094)  1 Hf 2.59, 2 Ce 2.85
S (0.2161, 0.9746, 0.6906)  1 Hf 2.59, 2 Ce 2.85
S (0.7349, 0.4697, 0.7044)  3 Ce 2.82
Tl (0.0000, 0.0000, 0.0000)  6 S 3.25
Tl (0.5000, 0.5000, 0.0000)  6 S 3.25
Tl (0.0000, 0.5000, 0.0000)  6 S 3.25
Hf (0.0000, 0.0000, 0.5000)  6 S 2.59
Ce (0.5000, 0.5000, 0.5000)  6 S 2.82-2.85
Ce (0.5000, 0.0000, 0.5000)  6 S 2.82-2.85
Ce (0.0000, 0.5000, 0.5000)  6 S 2.82-2.85

Summary:
Total DFT energy (no corrections) (eV per atom): -5.954

(2)
Ce2HfSb4 | PBE | optimized geometry

a b c (Å): 4.3334 4.3334 11.0784
angles (deg): 90.00 90.00 90.00
With the nearest neighbours (Å) after each atom.
Element x y z (fractional)
Ce (0.5000, 0.0000, 0.7240)  8 Sb 3.29
Ce (0.0000, 0.5000, 0.2760)  8 Sb 3.29
Sb (0.0000, 0.0000, 0.5000)  4 Sb 3.06, 4 Ce 3.29
Sb (0.0000, 0.5000, 0.8313)  2 Hf 2.86
Sb (0.5000, 0.0000, 0.1687)  2 Hf 2.86
Sb (0.5000, 0.5000, 0.5000)  4 Sb 3.06, 4 Ce 3.29
Hf (0.5000, 0.5000, 0.0000)  4 Sb 2.86

Summary:
Total DFT energy (no corrections) (eV per atom): -6.080

(3)
Ce3HfSb5 | PBE | optimized geometry

a b c (Å): 9.3995 9.3995 6.3182
angles (deg): 90.00 90.00 120.00
With the nearest neighbours (Å) after each atom.
Element x y z (fractional)
Ce (0.3849, 0.3849, 0.2500)  9 Sb 3.21-3.35
Ce (0.0000, 0.6151, 0.2500)  9 Sb 3.21-3.35
Ce (0.6151, 0.0000, 0.2500)  9 Sb 3.21-3.35
Ce (0.3849, 0.0000, 0.7500)  9 Sb 3.21-3.35
Ce (0.0000, 0.3849, 0.7500)  9 Sb 3.21-3.35
Ce (0.6151, 0.6151, 0.7500)  9 Sb 3.21-3.35
Sb (0.6667, 0.3333, 0.5000)  2 Sb 3.16, 6 Ce 3.32
Sb (0.7349, 0.7349, 0.2500)  2 Hf 2.95, 3 Ce 3.21-3.29
Sb (0.3333, 0.6667, 0.5000)  2 Sb 3.16, 6 Ce 3.32
Sb (0.7349, 0.0000, 0.7500)  2 Hf 2.95, 3 Ce 3.21-3.29
Sb (0.6667, 0.3333, 0.0000)  2 Sb 3.16, 6 Ce 3.32
Sb (0.0000, 0.7349, 0.7500)  2 Hf 2.95, 3 Ce 3.21-3.29
Sb (0.3333, 0.6667, 0.0000)  2 Sb 3.16, 6 Ce 3.32
Sb (0.0000, 0.2651, 0.2500)  2 Hf 2.95, 3 Ce 3.21-3.29
Sb (0.2651, 0.2651, 0.7500)  2 Hf 2.95, 3 Ce 3.21-3.29
Sb (0.2651, 0.0000, 0.2500)  2 Hf 2.95, 3 Ce 3.21-3.29
Hf (0.0000, 0.0000, 0.0000)  6 Sb 2.95, 2 Hf 3.16
Hf (0.0000, 0.0000, 0.5000)  6 Sb 2.95, 2 Hf 3.16

Summary:
Total DFT energy (no corrections) (eV per atom): -6.292